5
Lattice="5.581 0.000 0.000 0.000 5.581 0.000 0.000 0.000 4.096" Properties=species:S:1:pos:R:3 comment="GGA+U MnInBr2F, optimized geometry" e_tot_ev_per_atom=-4.409 dos_at_fermi_per_ev_fu=0.00 crystal_system=tetragonal pbc="T T T"
Br 2.791 0.000 0.000
Br 0.000 2.791 0.000
F 0.000 0.000 2.048
Mn 0.000 0.000 0.000
In 2.791 2.791 2.048